Computed, not measured: an optimized crystal structure of TmSnIr at the GGA-PBE level of DFT.

Computed properties:
- size of the total moment (Bohr magnetons per cell) = 0.00
- formation enthalpy at 0 K (eV/atom) = -0.664
- D(E_F) (states/eV/f.u.) = 1.9

The structure in POSCAR format:
```
TmSnIr
1.0
-1.607 1.938 2.168
-4.067 -1.330 -1.825
1.863 -2.398 3.524
Ir Tm Sn
1 1 1
Direct
0.166 0.333 0.667
0.667 0.667 0.333
0.167 0.000 0.000
```

Computed, not measured: an optimized crystal structure of Er4Se at the GGA-PBE level of DFT.

Computed properties:
- size of the total moment (Bohr magnetons per cell) = 1.34
- formation energy without anion corrections (eV/atom) = -0.41
- D(E_F) (states/eV/f.u.) = 8.8

The structure in POSCAR format:
```
Er4Se
1.0
5.388 0.000 0.000
0.000 5.388 0.000
0.000 0.000 5.388
Er Se
4 1
Direct
0.500 0.000 0.500
0.500 0.500 0.000
0.000 0.000 0.000
0.000 0.500 0.500
0.500 0.500 0.500
```

Computed, not measured: an optimized crystal structure of Er6Tl5Bi at the GGA-PBE level of DFT.

Computed properties:
- size of the total moment (Bohr magnetons per cell) = 0.00
- formation enthalpy at 0 K (eV/atom) = -0.330
- D(E_F) (states/eV/f.u.) = 8.6
- E above lowest polymorph (kJ/mol of atoms) = 1.1

The structure in POSCAR format:
```
Er6Tl5Bi
1.0
5.227 -0.001 -1.462
-3.939 7.473 -4.032
-0.216 -1.242 9.275
Bi Tl Er
1 5 6
Direct
0.000 0.000 0.000
0.000 0.664 0.336
0.500 0.500 0.500
0.500 0.171 0.829
0.500 0.829 0.171
0.000 0.336 0.664
0.249 0.416 0.082
0.751 0.918 0.584
0.748 0.248 0.248
0.252 0.752 0.752
0.751 0.584 0.918
0.249 0.082 0.416
```

Computed, not measured: an optimized crystal structure of CaIn2GaRh at the GGA-PBE level of DFT.

Computed properties:
- size of the total moment (Bohr magnetons per cell) = 0.00
- formation enthalpy at 0 K (eV/atom) = -0.285
- D(E_F) (states/eV/f.u.) = 4.4

The structure in POSCAR format:
```
CaIn2GaRh
1.0
-1.879 1.701 4.486
-4.643 -1.859 -1.240
1.125 -4.183 2.057
Rh Ca Ga In
1 1 1 2
Direct
0.000 0.000 0.000
0.500 0.500 0.500
0.000 0.000 0.500
0.500 0.000 0.000
0.000 0.500 0.000
```

Computed, not measured: an optimized crystal structure of Nd8Ir5Pd at the GGA-PBE level of DFT.

Computed properties:
- size of the total moment (Bohr magnetons per cell) = 0.00
- formation enthalpy at 0 K (eV/atom) = -0.628
- D(E_F) (states/eV/f.u.) = 6.0

The structure in POSCAR format:
```
Nd8Ir5Pd
1.0
1.721 -1.010 -7.453
5.423 -3.340 4.355
-6.849 -3.201 1.540
Ir Nd Pd
5 8 1
Direct
0.005 0.376 0.125
0.500 0.000 0.500
0.371 0.120 0.995
0.875 0.880 0.251
0.749 0.624 0.629
0.996 0.119 0.749
0.630 0.373 0.877
0.123 0.753 0.496
0.123 0.753 0.004
0.631 0.881 0.877
0.743 0.247 0.370
0.504 0.627 0.257
0.251 0.247 0.369
0.250 0.500 0.750
```

Computed, not measured: an optimized crystal structure of ScRu2I at the GGA-PBE level of DFT.

Computed properties:
- size of the total moment (Bohr magnetons per cell) = 0.00
- formation energy without anion corrections (eV/atom) = 0.49
- D(E_F) (states/eV/f.u.) = 4.8
- E above lowest polymorph (kJ/mol of atoms) = 19.7

The structure in POSCAR format:
```
ScRu2I
1.0
-1.851 -0.070 -3.808
-3.617 -1.294 1.782
-5.189 7.612 0.028
I Ru Sc
2 4 2
Direct
0.750 0.250 0.500
0.000 0.000 0.000
0.100 0.625 0.250
0.375 0.350 0.750
0.875 0.900 0.750
0.650 0.125 0.250
0.250 0.750 0.500
0.500 0.500 0.000
```

Computed, not measured: an optimized crystal structure of Li2CaHgBr6 at the GGA-PBE level of DFT.

Computed properties:
- size of the total moment (Bohr magnetons per cell) = 0.00
- formation energy without anion corrections (eV/atom) = -1.31
- D(E_F) (states/eV/f.u.) = 0.0

The structure in POSCAR format:
```
Li2CaHgBr6
1.0
7.076 0.001 -0.002
3.539 6.126 0.000
3.536 2.043 6.439
Br Ca Hg Li
6 1 1 2
Direct
0.895 0.621 0.247
0.743 0.116 0.742
0.399 0.743 0.742
0.621 0.237 0.247
0.115 0.399 0.742
0.237 0.895 0.247
0.318 0.318 0.046
0.812 0.812 0.564
0.005 0.005 0.984
0.516 0.516 0.453
```

Computed, not measured: an optimized crystal structure of MnMoAu2 at the GGA-PBE level of DFT.

Computed properties:
- size of the total moment (Bohr magnetons per cell) = 1.80
- formation enthalpy at 0 K (eV/atom) = 0.319
- D(E_F) (states/eV/f.u.) = 3.8
- E above lowest polymorph (kJ/mol of atoms) = 17.9

The structure in POSCAR format:
```
MnMoAu2
1.0
-3.820 -1.981 1.444
0.200 -3.897 2.318
-0.991 -0.060 4.429
Mo Au Mn
1 2 1
Direct
0.750 0.750 0.750
0.250 0.250 0.250
0.000 0.000 0.000
0.500 0.500 0.500
```

Computed, not measured: an optimized crystal structure of CaCuAg2 at the GGA-PBE level of DFT.

Computed properties:
- size of the total moment (Bohr magnetons per cell) = 0.00
- formation enthalpy at 0 K (eV/atom) = 0.210
- D(E_F) (states/eV/f.u.) = 1.1
- E above lowest polymorph (kJ/mol of atoms) = 30.3

The structure in POSCAR format:
```
CaCuAg2
1.0
8.882 -0.003 -0.002
8.258 3.269 -0.002
8.258 1.574 2.866
Ag Cu Ca
2 1 1
Direct
0.488 0.488 0.488
0.012 0.012 0.012
0.750 0.750 0.750
0.250 0.250 0.250
```

Computed, not measured: an optimized crystal structure of Li8Tl5Sn at the GGA-PBE level of DFT.

Computed properties:
- size of the total moment (Bohr magnetons per cell) = 0.00
- formation enthalpy at 0 K (eV/atom) = -0.176
- D(E_F) (states/eV/f.u.) = 7.2

The structure in POSCAR format:
```
Li8Tl5Sn
1.0
-0.698 7.050 -1.852
-5.912 -3.886 -1.890
1.020 0.008 7.251
Li Tl Sn
8 5 1
Direct
0.160 0.751 0.584
0.590 0.424 0.840
0.834 0.249 0.410
0.671 0.897 0.929
0.416 0.576 0.166
0.226 0.258 0.329
0.071 0.742 0.967
0.033 0.103 0.774
0.704 0.602 0.556
0.500 0.000 0.500
0.954 0.398 0.102
0.898 0.852 0.296
0.444 0.148 0.046
0.250 0.500 0.750
```

Computed, not measured: an optimized crystal structure of BC3 at the GGA-PBE level of DFT.

Computed properties:
- size of the total moment (Bohr magnetons per cell) = 0.00
- formation enthalpy at 0 K (eV/atom) = 0.320
- D(E_F) (states/eV/f.u.) = 0.5
- E above lowest polymorph (kJ/mol of atoms) = 7.6

The structure in POSCAR format:
```
BC3
1.0
4.432 0.003 -0.742
-2.404 3.724 -0.742
0.012 0.021 4.523
C B
9 3
Direct
0.537 0.204 0.639
0.655 0.322 0.993
0.207 0.557 0.641
0.997 0.011 0.991
0.345 0.664 0.991
0.890 0.874 0.641
0.371 0.373 0.113
0.707 0.037 0.113
0.168 0.835 0.515
0.502 0.497 0.493
0.830 0.169 0.493
0.040 0.707 0.128
```

Computed, not measured: an optimized crystal structure of TbPm5Cd4 at the GGA-PBE level of DFT.

Computed properties:
- size of the total moment (Bohr magnetons per cell) = 0.46
- formation enthalpy at 0 K (eV/atom) = -0.239
- D(E_F) (states/eV/f.u.) = 13.6

The structure in POSCAR format:
```
TbPm5Cd4
1.0
3.771 0.000 0.000
0.000 3.771 0.000
0.000 0.000 20.560
Pm Cd Tb
5 4 1
Direct
0.500 0.500 0.882
0.500 0.500 0.500
0.500 0.500 0.310
0.500 0.500 0.118
0.500 0.500 0.690
0.000 0.000 0.787
0.000 0.000 0.405
0.000 0.000 0.213
0.000 0.000 0.595
0.000 0.000 0.000
```